The following is a PBE-GGA calculation of a geometry-optimized CuNiMo4 structure, from Alexandria.

a = 5.1349 Å, b = 5.1349 Å, c = 5.1349 Å
α = 60.00°, β = 60.00°, γ = 60.00°
Atoms (fractional coordinates):
Mo: 0.3746 0.3746 0.8762
Mo: 0.3746 0.8762 0.3746
Mo: 0.3746 0.3746 0.3746
Mo: 0.8762 0.3746 0.3746
Cu: 0.0000 0.0000 0.0000
Ni: 0.7500 0.7500 0.7500

Summary:
Calculated volume in A^3/atom: 16.0
Size of the total moment in Bohr magnetons per cell: 0.0
DFT formation energy in kJ per mole of atoms: 56.9

=====

The following is a PBE-GGA calculation of a geometry-optimized NiAgPdPb structure, from Alexandria.

a = 4.5931 Å, b = 4.5931 Å, c = 4.5931 Å
α = 60.00°, β = 60.00°, γ = 60.00°
Atoms (fractional coordinates):
Ag: 0.2500 0.2500 0.2500
Pd: 0.0000 0.0000 0.0000
Ni: 0.5000 0.5000 0.5000
Pb: 0.7500 0.7500 0.7500

Summary:
Calculated volume in A^3/atom: 17.1
Size of the total moment in Bohr magnetons per cell: 0.0
DFT formation energy in kJ per mole of atoms: 5.4